Density functional theory data (PBE-GGA) for crystalline LiSc4Tc at its relaxed geometry.

Computed properties:
ρ (g/cm³): 3.7
Formation energy from the elements (eV/atom): 0.61
Size of the total moment (μB per formula unit): 0.000

a b c (Å): 7.9823 7.9823 7.9823
angles (deg): 90.00 90.00 90.00
Space group F-43m (No. 216)
Inequivalent atoms, fractional coordinates:
Li1 0.0000 0.0000 0.0000
Sc1 0.1225 0.1225 0.6225
Tc1 0.2500 0.2500 0.2500